Here is an optimized crystal structure of PmEr5Ru3 from the Alexandria database. Energies are from GGA-PBE.

Unit cell a=7.5972 b=7.5972 c=9.9391 alpha=71.81 beta=71.81 gamma=71.99
Closest atoms and distances in Å follow each position.
Fractional coordinates of all 18 atoms:
Pm 0.8930 0.8930 0.3023  3 Ru 2.75-2.79
Pm 0.1070 0.1070 0.6977  3 Ru 2.75-2.79
Er 0.2326 0.2326 0.9680  3 Ru 2.70-2.75
Er 0.7674 0.7674 0.0320  3 Ru 2.70-2.75
Er 0.5728 0.5728 0.6283  3 Ru 2.71-2.75
Er 0.6964 0.3036 0.0000  3 Ru 2.71-2.74
Er 0.0368 0.6383 0.6723  3 Ru 2.69-2.73
Er 0.3036 0.6964 0.0000  3 Ru 2.71-2.74
Er 0.6383 0.0368 0.6723  3 Ru 2.69-2.73
Er 0.4272 0.4272 0.3717  3 Ru 2.71-2.75
Er 0.3617 0.9632 0.3277  3 Ru 2.69-2.73
Er 0.9632 0.3617 0.3277  3 Ru 2.69-2.73
Ru 0.3410 0.3410 0.6711  5 Er 2.69-2.75, 1 Pm 2.79
Ru 0.6687 0.6687 0.8318  6 Er 2.70-2.74
Ru 0.0000 0.0000 0.0000  4 Er 2.71-2.75, 2 Pm 2.78
Ru 0.0000 0.0000 0.5000  4 Er 2.73, 2 Pm 2.75
Ru 0.3313 0.3313 0.1682  6 Er 2.70-2.74
Ru 0.6590 0.6590 0.3289  5 Er 2.69-2.75, 1 Pm 2.79

Summary:
- Crystal system: monoclinic
- ρ: 8.48 g/cm³
- Total magnetic moment: 0.0 μB per cell
- N(E_F): 5.04 states/eV per cell
- ΔE_f: -2.0 eV/f.u.
- Final energy: -114.72 eV per cell